[1]
DFT (GGA-PBE) results for a relaxed structure of SrCdSeO.

Values from the calculation:
SG: No. 129
DFT total energy, eV/atom: -4.053

Cell: 3.949 3.949 10.828 Å, 90.00 90.00 90.00°
Positions (direct):
O1 0.250 0.250 0.408
Cd1 0.750 0.250 0.000
Sr1 0.250 0.250 0.622
Se1 0.250 0.250 0.188
Se2 0.750 0.750 0.812
Cd2 0.250 0.750 0.000
Sr2 0.750 0.750 0.378
O2 0.750 0.750 0.592


[2]
DFT (GGA-PBE) results for a relaxed structure of IrPb2.

Values from the calculation:
SG: No. 227
DFT total energy, eV/atom: -4.758

Cell: 8.340 8.340 8.340 Å, 60.00 60.00 60.00°
Positions (direct):
Ir1 0.875 0.875 0.875
Ir2 0.125 0.125 0.125
Pb1 0.500 0.000 0.000
Pb2 0.000 0.500 0.000
Pb3 0.000 0.000 0.000
Pb4 0.000 0.000 0.500


[3]
DFT (GGA-PBE) results for a relaxed structure of NaHfZnSe3.

Values from the calculation:
SG: No. 63
DFT total energy, eV/atom: -4.774

Cell: 7.311 7.311 10.273 Å, 90.00 90.00 149.84°
Site moments in Bohr magnetons follow the coordinates.
Positions (direct):
Se1 0.582 0.418 0.250  0.01
Se2 0.133 0.867 0.556  0.01
Zn1 0.033 0.967 0.750  0.01
Se3 0.418 0.582 0.750  0.01
Se4 0.867 0.133 0.056  0.00
Na1 0.742 0.258 0.750  0.01
Se5 0.133 0.867 0.944  0.00
Hf1 0.500 0.500 0.500  0.36
Se6 0.867 0.133 0.444  0.01
Na2 0.258 0.742 0.250  0.01
Zn2 0.967 0.033 0.250  0.01
Hf2 0.500 0.500 0.000  0.36